#a
ZrCo2Br: single point on PBEsol structure, meta-GGA SCAN.

Unit cell a=4.3590 b=4.3590 c=4.3590 alpha=60.00 beta=60.00 gamma=60.00
Closest atoms and distances in Å follow each position.
Positions (direct):
Zr 0.0000 0.0000 0.0000  8 Co 2.67
Co 0.2500 0.2500 0.2500  4 Br 2.67, 4 Zr 2.67
Co 0.7500 0.7500 0.7500  4 Br 2.67, 4 Zr 2.67
Br 0.5000 0.5000 0.5000  8 Co 2.67

Space-group type: Fm-3m, No. 225
Calculated volume, Å³ per cell: 58.6
Size of the total moment, μB per cell: 0.000

=====

#b
ZrCo2Br: single point on PBEsol structure, meta-GGA SCAN.

Unit cell a=3.3036 b=3.3925 c=5.9939 alpha=90.00 beta=90.14 gamma=90.00
Closest atoms and distances in Å follow each position.
Positions (direct):
Zr 0.0000 0.0000 0.0000  8 Co 2.64
Co 0.4994 0.5000 0.8057  1 Co 2.33, 2 Br 2.50
Co 0.5006 0.5000 0.1943  1 Co 2.33, 2 Br 2.50
Br 0.5000 0.0000 0.5000  4 Co 2.50

Space-group type: P2/m, No. 10
Calculated volume, Å³ per cell: 67.2
Size of the total moment, μB per cell: 1.533

=====

Energies relative to the most stable structure, in kJ/mol of atoms: #a 65.8; #b 0.0.